## A
DFT (PBE-GGA) results for a geometry-optimized LaNd12Er6 structure.

```
LaNd12Er6
1.0
6.766 3.907 4.211
-6.766 3.907 4.211
0.000 -7.813 4.211
La Nd Er
1 12 6
direct
0.000 0.000 0.000
0.081 0.353 0.353
0.241 0.500 0.759
0.241 0.759 0.500
0.353 0.081 0.353
0.353 0.353 0.081
0.500 0.241 0.759
0.500 0.759 0.241
0.647 0.647 0.919
0.647 0.919 0.647
0.759 0.241 0.500
0.759 0.500 0.241
0.919 0.647 0.647
0.101 0.101 0.662
0.101 0.662 0.101
0.338 0.899 0.899
0.662 0.101 0.101
0.899 0.338 0.899
0.899 0.899 0.338
```

Results
Space group   R-3m, No. 166
Calculated volume   35.15 Å³/atom



## B
DFT (PBE-GGA) results for a geometry-optimized LaNd12Er6 structure.

```
LaNd12Er6
1.0
6.082 3.511 5.125
-6.082 3.511 5.125
0.000 -7.023 5.125
La Nd Er
1 12 6
direct
0.000 0.000 0.000
0.016 0.197 0.363
0.197 0.363 0.016
0.219 0.463 0.567
0.363 0.016 0.197
0.433 0.781 0.537
0.463 0.567 0.219
0.537 0.433 0.781
0.567 0.219 0.463
0.637 0.984 0.803
0.781 0.537 0.433
0.803 0.637 0.984
0.984 0.803 0.637
0.100 0.700 0.259
0.259 0.100 0.700
0.300 0.741 0.900
0.700 0.259 0.100
0.741 0.900 0.300
0.900 0.300 0.741
```

Results
Space group   R-3, No. 148
Calculated volume   34.56 Å³/atom



It is A that is the least stable of them.